(1)
TiNiPd2Rh: relaxed, PBE-GGA.

The value obtained for the formation energy is 0.81 eV/atom. The total energy is -5.47 eV/atom. The density of states at the Fermi level is 5.0 states/eV per cell. For the magnetic moment, the calculation gives 0.0 Bohr magnetons per cell. The calculated volume comes out at 88.3 Å³/cell.

a b c (Å): 4.549 4.549 4.265
angles (deg): 90.00 90.00 90.00
Sites, in units of the cell vectors:
Ti  0.000  0.000  0.000
Ni  0.000  0.000  0.500
Pd  0.000  0.500  0.000
Pd  0.500  0.000  0.000
Rh  0.500  0.500  0.500

(2)
TmNiPdRh: relaxed, PBE-GGA.

The value obtained for the formation energy is -0.47 eV/atom. The total energy is -6.17 eV/atom. The density of states at the Fermi level is 3.1 states/eV per cell. For the magnetic moment, the calculation gives 0.0 Bohr magnetons per cell. The calculated volume comes out at 64.6 Å³/cell.

a b c (Å): 4.503 4.503 4.503
angles (deg): 60.00 60.00 60.00
Sites, in units of the cell vectors:
Tm  0.000  0.000  0.000
Ni  0.500  0.500  0.500
Pd  0.250  0.250  0.250
Rh  0.750  0.750  0.750

(3)
UNiPdRh: relaxed, PBE-GGA.

The value obtained for the formation energy is -0.47 eV/atom. The total energy is -7.88 eV/atom. The density of states at the Fermi level is 5.9 states/eV per cell. For the magnetic moment, the calculation gives 1.2 Bohr magnetons per cell. The calculated volume comes out at 64.5 Å³/cell.

a b c (Å): 3.887 3.986 4.161
angles (deg): 90.00 90.00 90.00
Sites, in units of the cell vectors:
U  0.000  0.000  0.000
Ni  0.500  0.000  0.500
Pd  0.000  0.500  0.500
Rh  0.500  0.500  0.000

Question: Which of these has the highest magnetic moment?
Answer: UNiPdRh